<i>
Material: CoBiI2N
Method: DFT, PBE-GGA
State: optimized geometry

Cell and atoms, written as POSCAR:
```
CoBiI2N
1.0
5.679 0.000 0.000
0.000 5.679 0.000
0.000 0.000 3.547
I Co Bi N
2 1 1 1
Direct
0.000 0.500 0.000
0.500 0.000 0.000
0.000 0.000 0.000
0.500 0.500 0.500
0.000 0.000 0.500
```

Summary:
Space group: No. 123

=====

<ii>
Material: CoBiI2N
Method: DFT, PBE-GGA
State: optimized geometry

Cell and atoms, written as POSCAR:
```
CoBiI2N
1.0
-5.131 2.340 -2.827
-3.662 -3.584 3.680
-0.160 3.082 2.842
I Co Bi N
2 1 1 1
Direct
0.000 0.500 0.000
0.500 0.000 0.000
0.500 0.500 0.500
0.000 0.000 0.000
0.000 0.000 0.500
```

Summary:
Space group: No. 123

=====

The structure with the most favorable energy is <i>; the runner-up is 829 meV/atom above it.